1.
DFT (meta-GGA SCAN) results for a crystal of Ru8Pt relaxed with PBEsol.

The space-group type is No. 139. The total DFT energy (no corrections) is -348.201 eV for the cell shown. Its density of states at the Fermi level is 9.0 states/eV per cell.

a b c (Å): 5.9777 5.9777 5.9777
angles (deg): 95.72 95.72 143.19
With the nearest neighbours (Å) after each atom.
Atoms (fractional coordinates):
1 Ru 0.0000 0.3364 0.3364  11 Ru 2.62-2.68, 1 Pt 2.70
2 Ru 0.0000 0.6636 0.6636  11 Ru 2.62-2.68, 1 Pt 2.70
3 Ru 0.3300 0.3300 0.6600  10 Ru 2.62-2.73, 2 Pt 2.70
4 Ru 0.3300 0.6700 0.0000  10 Ru 2.62-2.73, 2 Pt 2.70
5 Ru 0.3364 0.0000 0.3364  11 Ru 2.62-2.68, 1 Pt 2.70
6 Ru 0.6636 0.0000 0.6636  11 Ru 2.62-2.68, 1 Pt 2.70
7 Ru 0.6700 0.3300 0.0000  10 Ru 2.62-2.73, 2 Pt 2.70
8 Ru 0.6700 0.6700 0.3400  10 Ru 2.62-2.73, 2 Pt 2.70
9 Pt 0.0000 0.0000 0.0000  12 Ru 2.70



2.
DFT (meta-GGA SCAN) results for a crystal of ZnCI2O relaxed with PBEsol.

The space-group type is No. 123. The total DFT energy (no corrections) is -98.122 eV for the cell shown. The value obtained for the energy above the most stable polymorph in this dataset is 0.000 eV/atom. Its density of states at the Fermi level is 2.1 states/eV per cell.

a b c (Å): 5.9940 5.9940 2.9951
angles (deg): 90.00 90.00 90.00
With the nearest neighbours (Å) after each atom.
Atoms (fractional coordinates):
1 Zn 0.0000 0.0000 0.0000  2 Zn 3.00, 8 I 3.35
2 C 0.5000 0.5000 0.5000  2 O 1.50
3 I 0.0000 0.5000 0.5000  2 I 3.00, 2 C 3.00, 4 O 3.35, 4 Zn 3.35
4 I 0.5000 0.0000 0.5000  2 I 3.00, 2 C 3.00, 4 O 3.35, 4 Zn 3.35
5 O 0.5000 0.5000 0.0000  2 C 1.50



3.
DFT (meta-GGA SCAN) results for a crystal of ReTc2H2 relaxed with PBEsol.

The space-group type is No. 139. The total DFT energy (no corrections) is -147.815 eV for the cell shown. Its density of states at the Fermi level is 3.0 states/eV per cell.

a b c (Å): 6.3064 6.3064 6.3064
angles (deg): 153.97 153.97 37.15
With the nearest neighbours (Å) after each atom.
Atoms (fractional coordinates):
1 Re 0.0000 0.0000 0.0000  8 Tc 2.68, 4 Re 2.84
2 Tc 0.3511 0.3511 0.0000  4 H 1.87
3 Tc 0.6489 0.6489 0.0000  4 H 1.87
4 H 0.2500 0.7500 0.5000  4 Tc 1.87, 4 H 2.01
5 H 0.7500 0.2500 0.5000  4 Tc 1.87, 4 H 2.01